1.
# HoMgNi10

A geometry-optimized HoMgNi10 structure (PBE-GGA, the Alexandria database).

Geometry as CIF:
```
data_HoMgNi10
_cell_length_a 3.980
_cell_length_b 4.792
_cell_length_c 8.288
_cell_angle_alpha 90.00
_cell_angle_beta 90.00
_cell_angle_gamma 90.00
_space_group_name_H-M_alt 'P m m m'
_space_group_IT_number 47
loop_
_space_group_symop_operation_xyz
'x,y,z'
'-x,-y,-z'
'-x,-y,z'
'x,y,-z'
'x,-y,-z'
'-x,y,z'
'-x,y,-z'
'x,-y,z'
loop_
_atom_site_label
_atom_site_type_symbol
_atom_site_fract_x
_atom_site_fract_y
_atom_site_fract_z
Ho1 Ho 0.000 0.000 0.000
Mg1 Mg 0.000 0.500 0.500
Ni1 Ni 0.000 0.000 0.340
Ni2 Ni 0.000 0.500 0.176
Ni3 Ni 0.500 0.000 0.500
Ni4 Ni 0.500 0.250 0.252
Ni5 Ni 0.500 0.500 0.000
```

Output
The size of the total moment comes out at 3.43 μB/f.u. Its formation enthalpy at 0 K is -0.174 eV per atom. As for the density of states at the Fermi level: 15.00 states/eV/f.u. For the calculated density, the calculation gives 8.2 g cm⁻³.

***

2.
# HoMgNi2

A geometry-optimized HoMgNi2 structure (PBE-GGA, the Alexandria database).

Geometry as CIF:
```
data_HoMgNi2
_cell_length_a 6.447
_cell_length_b 6.447
_cell_length_c 6.447
_cell_angle_alpha 90.00
_cell_angle_beta 90.00
_cell_angle_gamma 90.00
_space_group_name_H-M_alt 'F m -3 m'
_space_group_IT_number 225
_space_group_name_Hall '-F 4 2 3'
loop_
_atom_site_label
_atom_site_type_symbol
_atom_site_fract_x
_atom_site_fract_y
_atom_site_fract_z
Ho1 Ho 0.000 0.000 0.000
Mg1 Mg 0.000 0.000 0.500
Ni1 Ni 0.250 0.250 0.250
```

Output
The size of the total moment comes out at 0.00 μB/f.u. Its formation enthalpy at 0 K is -0.290 eV per atom. As for the density of states at the Fermi level: 2.60 states/eV/f.u. For the calculated density, the calculation gives 7.6 g cm⁻³.

***

3.
# HoMgNi2

A geometry-optimized HoMgNi2 structure (PBE-GGA, the Alexandria database).

Geometry as CIF:
```
data_HoMgNi2
_cell_length_a 3.942
_cell_length_b 3.659
_cell_length_c 9.819
_cell_angle_alpha 90.00
_cell_angle_beta 90.00
_cell_angle_gamma 90.00
_space_group_name_H-M_alt 'A m m 2'
_space_group_IT_number 38
loop_
_space_group_symop_operation_xyz
'x,y,z'
'-x,-y,z'
'-x,y,z'
'x,-y,z'
'x,y+1/2,z+1/2'
'-x,-y+1/2,z+1/2'
'-x,y+1/2,z+1/2'
'x,-y+1/2,z+1/2'
loop_
_atom_site_label
_atom_site_type_symbol
_atom_site_fract_x
_atom_site_fract_y
_atom_site_fract_z
Ho1 Ho 0.000 0.000 0.000
Mg1 Mg 0.500 0.000 0.711
Ni1 Ni 0.000 0.000 0.281
Ni2 Ni 0.500 0.000 0.421
```

Output
The size of the total moment comes out at 0.00 μB/f.u. Its formation enthalpy at 0 K is -0.317 eV per atom. As for the density of states at the Fermi level: 2.70 states/eV/f.u. For the calculated density, the calculation gives 7.2 g cm⁻³.

***

4.
# Ho12MgNi5

A geometry-optimized Ho12MgNi5 structure (PBE-GGA, the Alexandria database).

Geometry as CIF:
```
data_Ho12MgNi5
_cell_length_a 9.337
_cell_length_b 9.504
_cell_length_c 9.910
_cell_angle_alpha 90.00
_cell_angle_beta 90.00
_cell_angle_gamma 90.00
_space_group_name_H-M_alt 'I m m m'
_space_group_IT_number 71
_space_group_name_Hall '-I 2 2'
loop_
_atom_site_label
_atom_site_type_symbol
_atom_site_fract_x
_atom_site_fract_y
_atom_site_fract_z
Ho1 Ho 0.000 0.190 0.212
Ho2 Ho 0.193 0.500 0.179
Ho3 Ho 0.207 0.319 0.500
Mg1 Mg 0.000 0.000 0.500
Ni1 Ni 0.000 0.000 0.000
Ni2 Ni 0.000 0.365 0.000
Ni3 Ni 0.000 0.500 0.377
```

Output
The size of the total moment comes out at 0.00 μB/f.u. Its formation enthalpy at 0 K is -0.279 eV per atom. As for the density of states at the Fermi level: 20.78 states/eV/f.u. For the calculated density, the calculation gives 8.7 g cm⁻³.